# 1
A relaxed structure of Sr3In2Ga9, computed with PBE-GGA.

Values from the calculation:
ΔE_f = -0.363 eV/atom
DOS at the Fermi energy = 5.22 states/eV/cell
Calculated volume = 23.285 A^3/atom
Magnetic moment = 0.00 Bohr magnetons per cell

The structure in POSCAR format:
```
Sr3In2Ga9
1.0
-2.512 3.264 1.693
-8.017 -3.835 1.357
-0.664 -2.005 8.739
Ga Sr In
9 3 2
Direct
0.843 0.423 0.892
0.157 0.577 0.108
0.334 0.290 0.042
0.843 0.892 0.423
0.334 0.042 0.290
0.666 0.958 0.710
0.000 0.500 0.500
0.666 0.710 0.958
0.157 0.108 0.577
0.000 0.000 0.000
0.684 0.316 0.316
0.316 0.684 0.684
0.500 0.715 0.285
0.500 0.285 0.715
```

***

# 2
A relaxed structure of Nd2MgAl4Ir3, computed with PBE-GGA.

Values from the calculation:
ΔE_f = -0.694 eV/atom
DOS at the Fermi energy = 7.56 states/eV/cell
Calculated volume = 19.457 A^3/atom
Magnetic moment = 0.00 Bohr magnetons per cell

The structure in POSCAR format:
```
Nd2MgAl4Ir3
1.0
4.164 0.000 0.000
0.000 4.164 0.000
0.000 0.000 11.222
Al Nd Mg Ir
4 2 1 3
Direct
0.000 0.500 0.357
0.000 0.000 0.000
0.500 0.500 0.000
0.500 0.000 0.643
0.000 0.500 0.764
0.500 0.000 0.236
0.500 0.500 0.500
0.000 0.500 0.130
0.500 0.000 0.870
0.000 0.000 0.500
```

***

# 3
A relaxed structure of BeZnGa2Os, computed with PBE-GGA.

Values from the calculation:
ΔE_f = 1.241 eV/atom
DOS at the Fermi energy = 4.27 states/eV/cell
Calculated volume = 16.655 A^3/atom
Magnetic moment = 1.56 Bohr magnetons per cell

The structure in POSCAR format:
```
BeZnGa2Os
1.0
-4.255 0.797 1.465
-0.392 -3.851 0.955
1.606 0.875 4.188
Os Ga Be Zn
1 2 1 1
Direct
0.500 0.500 0.500
0.000 0.000 0.500
0.500 0.000 0.000
0.000 0.500 0.000
0.000 0.000 0.000
```

***

# 4
A relaxed structure of HfNb2Sb, computed with PBE-GGA.

Values from the calculation:
Energy relative to the elements, uncorrected = -0.199 eV per atom
DOS at the Fermi energy = 4.69 states/eV/cell
Calculated volume = 19.610 A^3/atom
Magnetic moment = 0.00 Bohr magnetons per cell

The structure in POSCAR format:
```
HfNb2Sb
1.0
4.475 0.000 0.000
0.000 4.187 0.000
0.000 0.000 4.187
Nb Hf Sb
2 1 1
Direct
0.000 0.500 0.000
0.000 0.000 0.500
0.500 0.000 0.000
0.500 0.500 0.500
```